Nd4Ho4Er5 | Alexandria via LeMat-Bulk | PBE | optimized geometry; ΔE_f = 0.28 eV per formula unit; total magnetization = 0.00 μB/cell; volume = 416.61 Å³/f.u.
1.0
4.8774 0.0000 1.2401
2.4386 9.0984 0.6202
0.1967 0.0002 9.4381
Nd Ho Er
4 4 5
Direct
0.9214 0.4606 0.6966
0.6180 0.3034 0.4607
0.0786 0.5394 0.3034
0.3820 0.6966 0.5393
0.7711 0.3819 0.0759
0.2289 0.6181 0.9241
0.8470 0.9241 0.3819
0.1530 0.0759 0.6181
0.6890 0.8501 0.7719
0.3110 0.1499 0.2281
0.0000 0.0000 0.0000
0.5391 0.7719 0.1499
0.4609 0.2281 0.8501

***

NdHo3Er4 | Alexandria via LeMat-Bulk | PBE | optimized geometry; polymorph energy (0 for the lowest one) = 226 meV/atom; ΔE_f = 1.86 eV per formula unit; total magnetization = 0.04 μB/cell; volume = 257.77 Å³/f.u.
1.0
-4.9340 2.0706 -1.6822
-1.5709 -3.0393 0.8665
0.2778 3.5029 12.8479
Nd Ho Er
1 3 4
Direct
0.5000 0.0000 0.0000
0.0000 0.5000 0.0000
0.8433 0.9992 0.6865
0.1567 0.0008 0.3135
0.6052 0.5003 0.2105
0.3948 0.4997 0.7895
0.2760 0.4991 0.5521
0.7240 0.5009 0.4479

***

Nd3Ho7Er2 | Alexandria via LeMat-Bulk | PBE | optimized geometry; polymorph energy (0 for the lowest one) = 0 meV/atom; ΔE_f = 1.06 eV per formula unit; total magnetization = 0.00 μB/cell; volume = 387.45 Å³/f.u.
1.0
-1.6076 -2.6605 -1.7300
3.8902 0.4455 -4.3001
10.3878 -12.4249 9.4550
Nd Ho Er
3 7 2
Direct
0.5000 0.5000 0.0000
0.0000 0.2220 0.3664
0.0000 0.7780 0.6336
0.5000 0.7429 0.4623
0.5000 0.2571 0.5377
0.0000 0.6908 0.1439
0.0000 0.0000 0.0000
0.0000 0.3092 0.8561
0.5000 0.8068 0.8239
0.5000 0.1932 0.1761
0.5000 0.7107 0.2923
0.5000 0.2893 0.7077

***

Nd2HoEr | Alexandria via LeMat-Bulk | PBE | optimized geometry; polymorph energy (0 for the lowest one) = 8 meV/atom; ΔE_f = 0.08 eV per formula unit; total magnetization = 0.00 μB/cell; volume = 131.50 Å³/f.u.
1.0
-3.1241 -2.6698 2.8937
-2.7612 -1.2386 -4.1237
2.9036 -4.1530 -0.6969
Nd Ho Er
2 1 1
Direct
0.0000 0.0000 0.5000
0.0000 0.5000 0.0000
0.5000 0.5000 0.5000
0.5000 0.0000 0.0000

***

NdHo6Er2 | Alexandria via LeMat-Bulk | PBE | optimized geometry; polymorph energy (0 for the lowest one) = 283 meV/atom; ΔE_f = 3.18 eV per formula unit; total magnetization = 0.00 μB/cell; volume = 293.01 Å³/f.u.
1.0
-0.4600 4.6446 -5.6174
-5.2910 5.0321 -0.1538
1.8665 7.2971 1.1329
Nd Ho Er
1 6 2
Direct
0.3169 0.3169 0.0492
0.7818 0.2615 0.6952
0.2616 0.7818 0.6952
0.2615 0.2616 0.6952
0.0473 0.6136 0.2916
0.0475 0.0473 0.2916
0.6136 0.0475 0.2916
0.7558 0.7558 0.7325
0.5797 0.5797 0.2610

***

Nd7Ho3Er | Alexandria via LeMat-Bulk | PBE | optimized geometry; polymorph energy (0 for the lowest one) = 45 meV/atom; ΔE_f = 2.52 eV per formula unit; total magnetization = 0.00 μB/cell; volume = 382.40 Å³/f.u.
1.0
-0.9234 -0.7419 -5.7881
-3.4581 -6.4894 4.4097
-6.4458 4.4531 3.4838
Nd Ho Er
7 3 1
Direct
0.2114 0.2092 0.2092
0.3080 0.0192 0.5972
0.6920 0.4028 0.9808
0.3080 0.5972 0.0192
0.0000 0.5000 0.5000
0.6920 0.9808 0.4028
0.7886 0.7908 0.7908
0.0000 0.7951 0.2049
0.5000 0.0000 0.0000
0.0000 0.2049 0.7951
0.5000 0.5000 0.5000

***

Nd12HoEr6 | Alexandria via LeMat-Bulk | PBE | optimized geometry; polymorph energy (0 for the lowest one) = 107 meV/atom; ΔE_f = 4.55 eV per formula unit; total magnetization = 0.01 μB/cell; volume = 666.06 Å³/f.u.
1.0
8.8374 0.1294 -2.7145
-3.7075 8.0232 -2.7145
0.0814 0.1294 9.2446
Nd Ho Er
12 1 6
Direct
0.4837 0.1924 0.5818
0.1924 0.5818 0.4837
0.5818 0.4837 0.1924
0.5163 0.8076 0.4182
0.8076 0.4182 0.5163
0.4182 0.5163 0.8076
0.2769 0.1334 0.8278
0.1722 0.7231 0.8666
0.8666 0.1722 0.7231
0.7231 0.8666 0.1722
0.8278 0.2769 0.1334
0.1334 0.8278 0.2769
0.0000 0.0000 0.0000
0.0765 0.1896 0.4560
0.8104 0.5440 0.9235
0.5440 0.9235 0.8104
0.9235 0.8104 0.5440
0.1896 0.4560 0.0765
0.4560 0.0765 0.1896

***

Nd2HoEr3 | Alexandria via LeMat-Bulk | PBE | optimized geometry; polymorph energy (0 for the lowest one) = 13 meV/atom; ΔE_f = 0.67 eV per formula unit; total magnetization = 0.00 μB/cell; volume = 194.06 Å³/f.u.
1.0
-2.1599 -3.0326 4.2546
5.6773 -6.3846 2.0877
13.5727 -4.4277 7.4907
Nd Ho Er
4 2 6
Direct
0.8539 0.4452 0.8470
0.1461 0.5548 0.1530
0.6073 0.2278 0.5576
0.3927 0.7722 0.4424
0.4529 0.2783 0.8158
0.5471 0.7217 0.1842
0.0486 0.1870 0.7158
0.9514 0.8130 0.2842
0.6915 0.6231 0.9938
0.3085 0.3769 0.0062
0.7863 0.9926 0.4349
0.2137 0.0074 0.5651

***

Nd5Ho4Er | Alexandria via LeMat-Bulk | PBE | optimized geometry; polymorph energy (0 for the lowest one) = 0 meV/atom; ΔE_f = 0.17 eV per formula unit; total magnetization = 0.00 μB/cell; volume = 329.80 Å³/f.u.
1.0
-2.2153 -2.5903 -1.2129
1.5366 -2.3717 2.2587
-16.8030 6.0455 17.7787
Nd Ho Er
5 4 1
Direct
0.5000 0.5000 0.0996
0.5000 0.5000 0.2997
0.5000 0.5000 0.5000
0.5000 0.5000 0.7003
0.5000 0.5000 0.9004
0.0000 0.0000 0.1996
0.0000 0.0000 0.3998
0.0000 0.0000 0.6002
0.0000 0.0000 0.8004
0.0000 0.0000 0.0000

***

Nd2HoEr | Alexandria via LeMat-Bulk | PBE | optimized geometry; polymorph energy (0 for the lowest one) = 10 meV/atom; ΔE_f = 0.09 eV per formula unit; total magnetization = 0.00 μB/cell; volume = 133.62 Å³/f.u.
1.0
-2.0265 1.6681 5.1418
-11.7416 -2.6107 -3.7807
0.7180 -6.8633 2.5095
Nd Ho Er
8 4 4
Direct
0.4433 0.0848 0.0003
0.4433 0.5849 0.4997
0.9433 0.9152 0.9997
0.9433 0.4151 0.5003
0.9432 0.4151 0.9999
0.4432 0.5849 0.0001
0.4432 0.0848 0.4999
0.9432 0.9152 0.5002
0.9432 0.6678 0.7499
0.4432 0.8324 0.2499
0.9432 0.1676 0.7501
0.4432 0.3322 0.2501
0.9433 0.6677 0.2499
0.4433 0.3324 0.7501
0.4433 0.8325 0.7499
0.9433 0.1674 0.2501

***

NdHoEr5 | Alexandria via LeMat-Bulk | PBE | optimized geometry; polymorph energy (0 for the lowest one) = 812 meV/atom; ΔE_f = 7.07 eV per formula unit; total magnetization = 0.00 μB/cell; volume = 285.51 Å³/f.u.
1.0
-0.9655 -0.3950 6.0474
-6.6891 -4.1399 -1.3383
6.8711 -2.7029 -2.1932
Nd Ho Er
1 1 5
Direct
0.6969 0.5000 0.0000
0.9379 0.0000 0.0000
0.1853 0.2564 0.5127
0.1693 0.5000 0.0000
0.6725 0.7436 0.4873
0.4344 0.8208 0.0000
0.4344 0.1792 0.0000

***

Nd6Ho2Er3 | Alexandria via LeMat-Bulk | PBE | optimized geometry; polymorph energy (0 for the lowest one) = 226 meV/atom; ΔE_f = 3.33 eV per formula unit; total magnetization = 0.00 μB/cell; volume = 382.79 Å³/f.u.
1.0
4.7512 0.0000 0.0000
0.0000 4.7512 0.0000
-2.3756 -2.3756 16.9572
Nd Ho Er
6 2 3
Direct
0.1201 0.6201 0.2402
0.6201 0.1201 0.2402
0.8799 0.3799 0.7598
0.3799 0.8799 0.7598
0.7049 0.7049 0.4099
0.2951 0.2951 0.5901
0.4550 0.4550 0.9100
0.5450 0.5450 0.0900
0.0000 0.0000 0.0000
0.8057 0.8057 0.6113
0.1943 0.1943 0.3887